Here is an optimized crystal structure of RbCo2Re2 from Alexandria. Energies are from PBE.

Calculated values
V = 16.51 Å³ per atom
formation enthalpy at 0 K = 848 meV/atom
space group = P4/mbm (127)

Geometry as POSCAR:
```
RbCo2Re2
1.0
-3.230 3.136 6.502
-6.898 0.761 -3.793
-0.711 -2.409 0.809
Re Co Rb
4 4 2
direct
0.615 0.115 0.000
0.115 0.385 0.000
0.385 0.885 0.000
0.885 0.615 0.000
0.340 0.160 0.500
0.660 0.840 0.500
0.840 0.340 0.500
0.160 0.660 0.500
0.000 0.000 0.000
0.500 0.500 0.000
```